1.
Material: LiTbPrTl
Method: DFT, GGA-PBE
State: relaxed

Unit cell a=7.643 b=7.643 c=7.643 alpha=90.00 beta=90.00 gamma=90.00
Space group F-43m (No. 216)
Unique sites:
Li: 0.000 0.000 0.000 [4 per cell]
Tb: 0.250 0.250 0.750 [4 per cell]
Pr: 0.250 0.250 0.250 [4 per cell]
Tl: 0.000 0.000 0.500 [4 per cell]

Results
VASP energy in eV per atom: -3.62

2.
Material: LiTb2PrTl4
Method: DFT, GGA-PBE
State: relaxed

Unit cell a=5.2929 b=5.2929 c=26.9789 alpha=90.00 beta=90.00 gamma=120.00
Space group R-3m (No. 166, hexagonal axes)
Unique sites:
Li: 0.0000 0.0000 0.0000 [3 per cell]
Tb: 0.0000 0.0000 0.2553 [6 per cell]
Pr: 0.0000 0.0000 0.5000 [3 per cell]
Tl: 0.0000 0.0000 0.1210 [6 per cell]
Tl: 0.0000 0.0000 0.3720 [6 per cell]

Results
VASP energy in eV per atom: -3.51

3.
Material: Li2Tb2PrTl2
Method: DFT, GGA-PBE
State: relaxed

Unit cell a=4.8975 b=4.8975 c=27.0710 alpha=90.00 beta=90.00 gamma=120.00
Space group R-3m (No. 166, hexagonal axes)
Unique sites:
Li: 0.0000 0.0000 0.0967 [6 per cell]
Tb: 0.0000 0.0000 0.3719 [6 per cell]
Pr: 0.0000 0.0000 0.5000 [3 per cell]
Tl: 0.0000 0.0000 0.2409 [6 per cell]

Results
VASP energy in eV per atom: -3.42

4.
Material: LiTbPrZn
Method: DFT, GGA-PBE
State: relaxed

Unit cell a=3.707 b=3.707 c=7.458 alpha=90.00 beta=90.00 gamma=90.00
Space group P4mm (No. 99)
Unique sites:
Li: 0.000 0.000 0.000 [1 per cell]
Tb: 0.500 0.500 0.256 [1 per cell]
Pr: 0.500 0.500 0.722 [1 per cell]
Zn: 0.000 0.000 0.473 [1 per cell]

Results
Energy above the lowest structure with this stoichiometry in eV/f.u.: 0.00

5.
Material: LiTbPrZn
Method: DFT, GGA-PBE
State: relaxed

Unit cell a=7.383 b=7.383 c=7.383 alpha=90.00 beta=90.00 gamma=90.00
Space group F-43m (No. 216)
Unique sites:
Li: 0.000 0.000 0.000 [4 per cell]
Tb: 0.250 0.250 0.250 [4 per cell]
Pr: 0.250 0.250 0.750 [4 per cell]
Zn: 0.000 0.000 0.500 [4 per cell]

Results
Energy above the lowest structure with this stoichiometry in eV/f.u.: 0.05

6.
Material: LiPr2Tc
Method: DFT, GGA-PBE
State: relaxed

Unit cell a=3.568 b=3.568 c=8.288 alpha=90.00 beta=90.00 gamma=90.00
Space group P4/mmm (No. 123)
Unique sites:
Li: 0.000 0.000 0.000 [1 per cell]
Pr: 0.500 0.500 0.294 [2 per cell]
Tc: 0.000 0.000 0.500 [1 per cell]

Results
VASP energy in eV per atom: -5.36

7.
Material: LiPr3Tc
Method: DFT, GGA-PBE
State: relaxed

Unit cell a=5.541 b=5.541 c=5.541 alpha=90.00 beta=90.00 gamma=90.00
Space group Pm-3m (No. 221)
Unique sites:
Li: 0.000 0.000 0.000 [1 per cell]
Pr: 0.000 0.500 0.500 [3 per cell]
Tc: 0.500 0.500 0.500 [1 per cell]

Results
VASP energy in eV per atom: -5.11

8.
Material: LiPr2Tc
Method: DFT, GGA-PBE
State: relaxed

Unit cell a=3.5932 b=3.5932 c=29.6796 alpha=90.00 beta=90.00 gamma=120.00
Space group R-3m (No. 166, hexagonal axes)
Unique sites:
Li: 0.0000 0.0000 0.0000 [3 per cell]
Pr: 0.0000 0.0000 0.2357 [6 per cell]
Tc: 0.0000 0.0000 0.5000 [3 per cell]

Results
VASP energy in eV per atom: -5.15

9.
Material: LiPr4Tc
Method: DFT, GGA-PBE
State: relaxed

Unit cell a=9.196 b=13.109 c=6.443 alpha=90.00 beta=109.26 gamma=90.00
Space group C2/c (No. 15)
Unique sites:
Li: 0.000 0.123 0.250 [4 per cell]
Pr: 0.104 0.329 0.554 [8 per cell]
Pr: 0.219 0.082 0.880 [8 per cell]
Tc: 0.000 0.499 0.250 [4 per cell]

Results
VASP energy in eV per atom: -5.18

10.
Material: LiPrTc
Method: DFT, GGA-PBE
State: relaxed

Unit cell a=12.434 b=4.270 c=5.455 alpha=90.00 beta=103.33 gamma=90.00
Space group C2/m (No. 12)
Unique sites:
Li: 0.082 0.000 0.296 [4 per cell]
Pr: 0.125 0.500 0.828 [4 per cell]
Tc: 0.222 0.500 0.396 [4 per cell]

Results
VASP energy in eV per atom: -5.49

11.
Material: LiPrThTc
Method: DFT, GGA-PBE
State: relaxed

Unit cell a=7.221 b=7.221 c=7.221 alpha=90.00 beta=90.00 gamma=90.00
Space group F-43m (No. 216)
Unique sites:
Li: 0.000 0.000 0.000 [4 per cell]
Pr: 0.250 0.250 0.750 [4 per cell]
Th: 0.250 0.250 0.250 [4 per cell]
Tc: 0.000 0.000 0.500 [4 per cell]

Results
VASP energy in eV per atom: -6.08

12.
Material: LiPrZrTc
Method: DFT, GGA-PBE
State: relaxed

Unit cell a=6.916 b=6.916 c=6.916 alpha=90.00 beta=90.00 gamma=90.00
Space group F-43m (No. 216)
Unique sites:
Li: 0.000 0.000 0.000 [4 per cell]
Pr: 0.250 0.250 0.250 [4 per cell]
Zr: 0.250 0.250 0.750 [4 per cell]
Tc: 0.000 0.000 0.500 [4 per cell]

Results
VASP energy in eV per atom: -6.37